A plane-wave DFT calculation with GGA+U was carried out for a relaxed structure of LiV3O8. Values from VASP.

Geometry as Quantum ESPRESSO input:
```
&SYSTEM
  ibrav = 0, nat = 12, ntyp = 3
/
ATOMIC_SPECIES
O 16.00 O.upf
V 50.94 V.upf
Li 6.94 Li.upf
ATOMIC_POSITIONS angstrom
O 9.772 2.742 6.938
O 10.027 2.813 3.153
O 6.675 1.873 7.072
O 12.075 3.388 4.985
O 6.208 1.742 2.224
O 8.149 2.286 4.834
O 2.325 0.652 1.845
O 4.491 1.260 5.143
V 6.515 1.828 5.458
V 9.888 2.774 4.819
V 7.641 2.144 1.510
Li 4.335 1.216 2.016
CELL_PARAMETERS angstrom
6.440 0.004 0.003
5.502 3.347 0.003
2.335 0.655 7.107
```

**Symmetry**: Cm
**Excess energy over the best structure of this formula in the dataset**: 75 kJ/mol of formula units